Here is a geometry-optimized Rb2RuWF6 structure from the Alexandria database. Energies are from GGA+U.

a b c (Å): 6.0631 6.0631 10.0025
angles (deg): 90.00 90.00 90.00
Last column: nearest neighbours and their distance in Å.
Space group I4/mmm (No. 139)
Asymmetric unit:
1 Rb 0.0000 0.5000 0.2500 x4  12 F 3.06-3.29
2 Ru 0.0000 0.0000 0.0000 x2  4 F 2.18
3 W 0.0000 0.0000 0.5000 x2  6 F 2.11
4 F 0.0000 0.0000 0.2895 x4  1 W 2.11
5 F 0.2463 0.2463 0.5000 x8  1 W 2.11, 1 Ru 2.18

Calculated values
volume: 18.4 A^3/atom
total DFT energy (no corrections): -0.183 Ha/atom